# 1
Crystalline NaBeNi2Pd at its relaxed geometry. Source: Alexandria, functional PBE-GGA.

Unit cell a=4.6311 b=4.6311 c=4.9342 alpha=90.00 beta=90.00 gamma=90.00
With the nearest neighbours (Å) after each atom.
Space group P4/mmm (No. 123)
Unique sites:
Na: 0.0000 0.0000 0.0000 [1 per cell]  2 Pd 2.47
Be: 0.5000 0.5000 0.0000 [1 per cell]  4 Na 3.27, 8 Ni 3.38
Ni: 0.0000 0.5000 0.5000 [2 per cell]  2 Pd 2.32
Pd: 0.0000 0.0000 0.5000 [1 per cell]  4 Ni 2.32, 2 Na 2.47

Values from the calculation:
Total DFT energy (no corrections) ... -3.0558 eV per atom
ΔH_f (0 K) ... 30.08 kcal/mol of atoms
Magnetization ... 1.715 μB per cell

# 2
Crystalline NaTa2BeNi at its relaxed geometry. Source: Alexandria, functional PBE-GGA.

Unit cell a=4.4098 b=4.4098 c=4.4489 alpha=90.00 beta=90.00 gamma=90.00
With the nearest neighbours (Å) after each atom.
Space group P4/mmm (No. 123)
Unique sites:
Na: 0.0000 0.0000 0.0000 [1 per cell]  2 Be 2.22
Ta: 0.0000 0.5000 0.5000 [2 per cell]  2 Be 2.20
Be: 0.0000 0.0000 0.5000 [1 per cell]  4 Ta 2.20, 2 Na 2.22
Ni: 0.5000 0.5000 0.0000 [1 per cell]  4 Na 3.12, 8 Ta 3.13

Values from the calculation:
Total DFT energy (no corrections) ... -5.7329 eV per atom
ΔH_f (0 K) ... 27.06 kcal/mol of atoms
Magnetization ... 0.000 μB per cell

# 3
Crystalline NaNp2BeO8 at its relaxed geometry. Source: Alexandria, functional PBE-GGA.

Unit cell a=6.8720 b=6.3528 c=6.8669 alpha=90.00 beta=92.65 gamma=90.00
With the nearest neighbours (Å) after each atom.
Space group C2/m (No. 12)
Unique sites:
Na: 0.0000 0.0000 0.0000 [2 per cell]  6 O 2.23-2.38
Np: 0.0062 0.5000 0.2583 [4 per cell]  4 O 1.93-2.02
Be: 0.0000 0.0000 0.5000 [2 per cell]  6 O 1.90-2.09
O: 0.0036 0.1985 0.7064 [8 per cell]  1 Be 1.90, 1 Np 1.93
O: 0.1755 0.5000 0.9770 [4 per cell]  1 Np 2.00, 1 Na 2.23
O: 0.1954 0.5000 0.4919 [4 per cell]  2 Np 2.02-2.25, 1 Be 2.09

Values from the calculation:
Total DFT energy (no corrections) ... -8.2400 eV per atom
Formation energy (no corrections) ... -2.36 eV per atom
Magnetization ... 2.002 μB per cell

# 4
Crystalline NaNpBeS3 at its relaxed geometry. Source: Alexandria, functional PBE-GGA.

Unit cell a=8.2363 b=3.7981 c=8.8916 alpha=90.00 beta=102.82 gamma=90.00
With the nearest neighbours (Å) after each atom.
Space group P2_1/m (No. 11)
Unique sites:
Na: 0.1850 0.2500 0.2074 [2 per cell]  4 S 2.88-2.92
Np: 0.3330 0.7500 0.8429 [2 per cell]  6 S 2.72-2.86
Be: 0.0752 0.2500 0.5979 [2 per cell]  4 S 2.09-2.24
S: 0.0904 0.2500 0.8351 [2 per cell]  1 Be 2.09
S: 0.1778 0.7500 0.5219 [2 per cell]  3 Be 2.12-2.24
S: 0.4298 0.7500 0.1568 [2 per cell]  3 Np 2.72-2.73, 2 Na 2.88

Values from the calculation:
Total DFT energy (no corrections) ... -6.2191 eV per atom
Formation energy (no corrections) ... -1.16 eV per atom
Magnetization ... 8.000 μB per cell

V, record by record: 21.165 17.303 12.478 22.602 A^3/atom